Rb3Li2VF6: optimized geometry, GGA+U.

It has space group P-3m1 (No. 164), with a = 6.0088 Å, b = 6.0088 Å, c = 7.6509 Å, α = 90.00°, β = 90.00° and γ = 120.00°. The inequivalent atoms are Rb at (0.0000, 0.0000, 0.0000), Rb at (0.3333, 0.6667, 0.6616), Li at (0.3333, 0.6667, 0.2578), V at (0.0000, 0.0000, 0.5000) and F at (0.1647, 0.3295, 0.3327).

The total magnetization comes out at 3.43 Bohr magnetons per cell. The value obtained for the volume is 239 Å³ per cell. The value obtained for the energy is -55.631 eV per cell.